1.
A relaxed structure of Mg5Tl2Pd2, computed with PBE-GGA.

Cell and atoms, written as extended XYZ:
```
18
Lattice="-1.9858 1.7023 6.3392 2.5471 -5.9804 2.4039 6.3516 4.5092 4.4879" Properties=species:S:1:pos:R:3 pbc="T T T"
Mg 0.0000 0.0000 0.0000
Mg 0.2807 -2.1390 4.3715
Mg 4.4466 3.2824 6.7232
Mg 5.5143 -0.1874 10.4028
Mg 6.0670 -0.0052 6.8179
Mg 3.8939 3.1002 10.3081
Mg 2.4663 -3.0512 6.5079
Mg 1.3986 0.4185 2.8282
Mg 0.8458 0.2363 6.4132
Mg 3.0190 -2.8690 2.9229
Tl 3.0492 2.8644 3.8952
Tl 3.3298 0.7254 8.2667
Tl 1.3166 3.3472 6.9320
Tl 3.5831 -0.4942 4.9643
Pd 0.6405 -1.9143 1.7432
Pd -0.0792 -2.3637 6.9999
Pd 1.4718 -4.5253 4.3570
Pd -0.9105 0.2473 4.3860
```

Properties
D(E_F) = 7.61 states/eV per cell
Formation energy from the elements = -0.32 eV/atom
DFT total energy = -2.884 eV/atom


2.
A relaxed structure of La12Sm2Ho5, computed with PBE-GGA.

Cell and atoms, written as extended XYZ:
```
19
Lattice="9.5522 0.0000 0.0000 -4.7761 10.9074 1.5066 0.0000 -0.9101 6.3026" Properties=species:S:1:pos:R:3 pbc="T T T"
La 0.0000 1.6450 0.5081
La 6.4345 5.6545 6.2306
La 3.1177 5.6545 6.2306
La -2.8424 7.7739 3.6008
La 2.8424 7.7739 3.6008
La 0.0000 8.8563 4.9518
La 4.7761 1.1410 2.8573
La 7.6185 2.2234 4.2083
La 1.9337 2.2234 4.2083
La -1.6584 4.3427 1.5786
La 1.6584 4.3427 1.5786
La 4.7761 8.3523 7.3010
Sm 6.5610 0.0000 0.0000
Sm 2.9912 0.0000 0.0000
Ho 0.0000 5.2673 4.6748
Ho 0.0000 7.7762 1.4790
Ho 0.0000 -0.4551 3.1513
Ho 4.7761 2.2211 6.3301
Ho 4.7761 4.7300 3.1343
```

Properties
D(E_F) = 27.96 states/eV per cell
Formation energy from the elements = 0.18 eV/atom
Offset from the most stable computed form = 79 meV/atom
DFT total energy = -4.634 eV/atom


3.
A relaxed structure of ErNp2Sn9, computed with PBE-GGA.

Cell and atoms, written as extended XYZ:
```
12
Lattice="4.6684 0.0000 0.0000 0.0000 4.6684 0.0000 0.0000 0.0000 13.9582" Properties=species:S:1:pos:R:3 pbc="T T T"
Er 0.0000 0.0000 0.0000
Np 0.0000 0.0000 4.6834
Np 0.0000 0.0000 9.2748
Sn 2.3342 2.3342 0.0000
Sn 2.3342 2.3342 4.6548
Sn 2.3342 2.3342 9.3034
Sn 2.3342 0.0000 2.3433
Sn 2.3342 0.0000 6.9791
Sn 2.3342 0.0000 11.6150
Sn 0.0000 2.3342 2.3433
Sn 0.0000 2.3342 6.9791
Sn 0.0000 2.3342 11.6150
```

Properties
D(E_F) = 24.94 states/eV per cell
Formation energy from the elements = -0.22 eV/atom
DFT total energy = -5.763 eV/atom


4.
A relaxed structure of Y2HoRh2, computed with PBE-GGA.

Cell and atoms, written as extended XYZ:
```
10
Lattice="-0.8132 -3.5858 -2.2985 4.9742 0.4476 -2.4581 0.1733 -6.0721 9.4114" Properties=species:S:1:pos:R:3 pbc="T T T"
Y 3.7578 -5.8885 5.8117
Y 0.5765 -3.3219 -1.1570
Y 1.2836 -3.9960 3.7347
Y 3.0507 -5.2144 0.9201
Ho 3.8296 -1.7840 -0.6168
Ho 0.5047 -7.4263 5.2716
Rh 4.3438 -4.4250 3.3213
Rh -0.0095 -4.7854 1.3335
Rh 1.5100 -6.6500 7.7950
Rh 2.8243 -2.5603 -3.1402
```

Properties
D(E_F) = 5.49 states/eV per cell
Formation energy from the elements = -0.70 eV/atom
Offset from the most stable computed form = 0 meV/atom
DFT total energy = -7.147 eV/atom